An optimized crystal structure of ZrScCoPd, computed with PBE.

The structure in CIF format:
```
data_ZrScCoPd
_space_group_name_H-M_alt 'F -4 3 m'
_space_group_IT_number 216
_space_group_name_Hall 'F -4 2 3'
_cell_length_a 6.5160
_cell_length_b 6.5160
_cell_length_c 6.5160
_cell_angle_alpha 90.00
_cell_angle_beta 90.00
_cell_angle_gamma 90.00
loop_
_atom_site_label
_atom_site_type_symbol
_atom_site_fract_x
_atom_site_fract_y
_atom_site_fract_z
Zr1 Zr 0.0000 0.0000 0.0000
Sc1 Sc 0.0000 0.0000 0.5000
Co1 Co 0.2500 0.2500 0.7500
Pd1 Pd 0.2500 0.2500 0.2500
```

Values from the calculation:
* energy of formation: -0.5007 eV per atom
* M_tot: 2.3 μB/cell

=====

An optimized crystal structure of NaReB2, computed with PBE.

The structure in CIF format:
```
data_NaReB2
_space_group_name_H-M_alt 'F m -3 m'
_space_group_IT_number 225
_space_group_name_Hall '-F 4 2 3'
_cell_length_a 5.5888
_cell_length_b 5.5888
_cell_length_c 5.5888
_cell_angle_alpha 90.00
_cell_angle_beta 90.00
_cell_angle_gamma 90.00
loop_
_atom_site_label
_atom_site_type_symbol
_atom_site_fract_x
_atom_site_fract_y
_atom_site_fract_z
Na1 Na 0.0000 0.0000 0.0000
Re1 Re 0.0000 0.0000 0.5000
B1 B 0.2500 0.2500 0.2500
```

Values from the calculation:
* energy of formation: 1.1671 eV per atom
* M_tot: 0.0 μB/cell
* polymorph energy (0 for the lowest one): 0.400 eV/atom

=====

An optimized crystal structure of TaMoSe, computed with PBE.

The structure in CIF format:
```
data_TaMoSe
_space_group_name_H-M_alt 'P -3 m 1'
_space_group_IT_number 164
_space_group_name_Hall '-P 3 2"'
_cell_length_a 3.2717
_cell_length_b 3.2717
_cell_length_c 24.2219
_cell_angle_alpha 90.00
_cell_angle_beta 90.00
_cell_angle_gamma 120.00
loop_
_atom_site_label
_atom_site_type_symbol
_atom_site_fract_x
_atom_site_fract_y
_atom_site_fract_z
Ta1 Ta 0.3333 0.6667 0.1226
Ta2 Ta 0.3333 0.6667 0.6449
Mo1 Mo 0.3333 0.6667 0.7952
Mo2 Mo 0.3333 0.6667 0.9617
Se1 Se 0.3333 0.6667 0.2805
Se2 Se 0.3333 0.6667 0.4275
```

Values from the calculation:
* M_tot: 0.0 μB/cell
* polymorph energy (0 for the lowest one): 0.000 eV/atom

=====

An optimized crystal structure of Nd6Tl2Tc, computed with PBE.

The structure in CIF format:
```
data_Nd6Tl2Tc
_space_group_name_H-M_alt 'A m m 2'
_space_group_IT_number 38
_cell_length_a 4.0332
_cell_length_b 15.2582
_cell_length_c 8.8999
_cell_angle_alpha 90.00
_cell_angle_beta 90.00
_cell_angle_gamma 90.00
loop_
_space_group_symop_operation_xyz
'x,y,z'
'-x,-y,z'
'-x,y,z'
'x,-y,z'
'x,y+1/2,z+1/2'
'-x,-y+1/2,z+1/2'
'-x,y+1/2,z+1/2'
'x,-y+1/2,z+1/2'
loop_
_atom_site_label
_atom_site_type_symbol
_atom_site_fract_x
_atom_site_fract_y
_atom_site_fract_z
Nd1 Nd 0.0000 0.0000 0.0000
Nd2 Nd 0.0000 0.1153 0.6329
Nd3 Nd 0.5000 0.0000 0.3564
Nd4 Nd 0.5000 0.1965 0.9482
Tl1 Tl 0.0000 0.1693 0.2524
Tc1 Tc 0.5000 0.0000 0.7769
```

Values from the calculation:
* energy of formation: -0.1782 eV per atom
* M_tot: 0.0 μB/cell

=====

An optimized crystal structure of NaAg6Au2, computed with PBE.

The structure in CIF format:
```
data_NaAg6Au2
_space_group_name_H-M_alt 'P 6/m m m'
_space_group_IT_number 191
_space_group_name_Hall '-P 6 2'
_cell_length_a 5.6650
_cell_length_b 5.6650
_cell_length_c 7.3675
_cell_angle_alpha 90.00
_cell_angle_beta 90.00
_cell_angle_gamma 120.00
loop_
_atom_site_label
_atom_site_type_symbol
_atom_site_fract_x
_atom_site_fract_y
_atom_site_fract_z
Na1 Na 0.0000 0.0000 0.0000
Ag1 Ag 0.0000 0.5000 0.1884
Au1 Au 0.3333 0.6667 0.5000
```

Values from the calculation:
* energy of formation: 0.1336 eV per atom
* M_tot: 0.0 μB/cell
* polymorph energy (0 for the lowest one): 0.183 eV/atom

=====

An optimized crystal structure of Nb2CrCu, computed with PBE.

The structure in CIF format:
```
data_Nb2CrCu
_space_group_name_H-M_alt 'I -4 2 d'
_space_group_IT_number 122
_space_group_name_Hall 'I -4 2bw'
_cell_length_a 6.9316
_cell_length_b 6.9316
_cell_length_c 5.3576
_cell_angle_alpha 90.00
_cell_angle_beta 90.00
_cell_angle_gamma 90.00
loop_
_atom_site_label
_atom_site_type_symbol
_atom_site_fract_x
_atom_site_fract_y
_atom_site_fract_z
Nb1 Nb 0.2422 0.2500 0.1250
Cr1 Cr 0.0000 0.0000 0.0000
Cu1 Cu 0.0000 0.0000 0.5000
```

Values from the calculation:
* energy of formation: 0.5960 eV per atom
* M_tot: 0.0 μB/cell
* polymorph energy (0 for the lowest one): 0.504 eV/atom

=====

An optimized crystal structure of Pm2Y3Te6, computed with PBE.

The structure in CIF format:
```
data_Pm2Y3Te6
_space_group_name_H-M_alt 'C 1 2/m 1'
_space_group_IT_number 12
_cell_length_a 7.6098
_cell_length_b 13.1114
_cell_length_c 7.5950
_cell_angle_alpha 90.00
_cell_angle_beta 109.58
_cell_angle_gamma 90.00
loop_
_space_group_symop_operation_xyz
'x,y,z'
'-x,-y,-z'
'-x,y,-z'
'x,-y,z'
'x+1/2,y+1/2,z'
'-x+1/2,-y+1/2,-z'
'-x+1/2,y+1/2,-z'
'x+1/2,-y+1/2,z'
loop_
_atom_site_label
_atom_site_type_symbol
_atom_site_fract_x
_atom_site_fract_y
_atom_site_fract_z
Pm1 Pm 0.0000 0.1640 0.0000
Y1 Y 0.0000 0.0000 0.5000
Y2 Y 0.0000 0.3295 0.5000
Te1 Te 0.2371 0.5000 0.7475
Te2 Te 0.2431 0.3391 0.2494
```

Values from the calculation:
* M_tot: 0.0 μB/cell
* polymorph energy (0 for the lowest one): 0.000 eV/atom

=====

An optimized crystal structure of NaTlBCl2, computed with PBE.

The structure in CIF format:
```
data_NaTlBCl2
_space_group_name_H-M_alt 'P 4/m m m'
_space_group_IT_number 123
_space_group_name_Hall '-P 4 2'
_cell_length_a 5.8463
_cell_length_b 5.8463
_cell_length_c 4.2607
_cell_angle_alpha 90.00
_cell_angle_beta 90.00
_cell_angle_gamma 90.00
loop_
_atom_site_label
_atom_site_type_symbol
_atom_site_fract_x
_atom_site_fract_y
_atom_site_fract_z
Na1 Na 0.0000 0.0000 0.0000
Tl1 Tl 0.5000 0.5000 0.5000
B1 B 0.5000 0.5000 0.0000
Cl1 Cl 0.0000 0.5000 0.5000
```

Values from the calculation:
* M_tot: 0.0 μB/cell

=====

An optimized crystal structure of NiTe4As, computed with PBE.

The structure in CIF format:
```
data_NiTe4As
_space_group_name_H-M_alt 'P 1 2/m 1'
_space_group_IT_number 10
_cell_length_a 6.4734
_cell_length_b 3.8546
_cell_length_c 6.7883
_cell_angle_alpha 90.00
_cell_angle_beta 108.96
_cell_angle_gamma 90.00
loop_
_space_group_symop_operation_xyz
'x,y,z'
'-x,-y,-z'
'-x,y,-z'
'x,-y,z'
loop_
_atom_site_label
_atom_site_type_symbol
_atom_site_fract_x
_atom_site_fract_y
_atom_site_fract_z
Ni1 Ni 0.0000 0.0000 0.0000
Te1 Te 0.2396 0.5000 0.2145
Te2 Te 0.2668 0.0000 0.7820
As1 As 0.0000 0.5000 0.5000
```

Values from the calculation:
* M_tot: 0.0 μB/cell
* polymorph energy (0 for the lowest one): 0.000 eV/atom

=====

An optimized crystal structure of YIr2Pd2, computed with PBE.

The structure in CIF format:
```
data_YIr2Pd2
_space_group_name_H-M_alt 'I 4/m m m'
_space_group_IT_number 139
_space_group_name_Hall '-I 4 2'
_cell_length_a 3.7494
_cell_length_b 3.7494
_cell_length_c 13.0807
_cell_angle_alpha 90.00
_cell_angle_beta 90.00
_cell_angle_gamma 90.00
loop_
_atom_site_label
_atom_site_type_symbol
_atom_site_fract_x
_atom_site_fract_y
_atom_site_fract_z
Y1 Y 0.0000 0.0000 0.0000
Ir1 Ir 0.0000 0.5000 0.2500
Pd1 Pd 0.0000 0.0000 0.3988
```

Values from the calculation:
* energy of formation: -0.1451 eV per atom
* M_tot: 0.0 μB/cell
* polymorph energy (0 for the lowest one): 0.000 eV/atom

=====

An optimized crystal structure of Ac2ReN4, computed with PBE.

The structure in CIF format:
```
data_Ac2ReN4
_space_group_name_H-M_alt 'P n m a'
_space_group_IT_number 62
_cell_length_a 7.7210
_cell_length_b 5.9328
_cell_length_c 10.5862
_cell_angle_alpha 90.00
_cell_angle_beta 90.00
_cell_angle_gamma 90.00
loop_
_space_group_symop_operation_xyz
'x,y,z'
'-x,-y,-z'
'-x+1/2,-y,z+1/2'
'x+1/2,y,-z+1/2'
'x+1/2,-y+1/2,-z+1/2'
'-x+1/2,y+1/2,z+1/2'
'-x,y+1/2,-z'
'x,-y+1/2,z'
loop_
_atom_site_label
_atom_site_type_symbol
_atom_site_fract_x
_atom_site_fract_y
_atom_site_fract_z
Ac1 Ac 0.0026 0.2500 0.1998
Ac2 Ac 0.1512 0.2500 0.5622
Re1 Re 0.2103 0.2500 0.9193
N1 N 0.0279 0.7500 0.0757
N2 N 0.1790 0.7500 0.5803
N3 N 0.2007 0.0088 0.3468
```

Values from the calculation:
* M_tot: 0.0 μB/cell
* polymorph energy (0 for the lowest one): 0.000 eV/atom

=====

An optimized crystal structure of SbOsRh, computed with PBE.

The structure in CIF format:
```
data_SbOsRh
_space_group_name_H-M_alt 'P 3 m 1'
_space_group_IT_number 156
_cell_length_a 4.3896
_cell_length_b 4.3896
_cell_length_c 3.0216
_cell_angle_alpha 90.00
_cell_angle_beta 90.00
_cell_angle_gamma 120.00
loop_
_space_group_symop_operation_xyz
'x,y,z'
'-y,x-y,z'
'-x+y,-x,z'
'-y,-x,z'
'-x+y,y,z'
'x,x-y,z'
loop_
_atom_site_label
_atom_site_type_symbol
_atom_site_fract_x
_atom_site_fract_y
_atom_site_fract_z
Sb1 Sb 0.0000 0.0000 0.0000
Os1 Os 0.6667 0.3333 0.2488
Rh1 Rh 0.3333 0.6667 0.7313
```

Values from the calculation:
* M_tot: 0.4 μB/cell
* polymorph energy (0 for the lowest one): 0.152 eV/atom

=====

An optimized crystal structure of Mn2W, computed with PBE.

The structure in CIF format:
```
data_Mn2W
_space_group_name_H-M_alt 'C 1 2/m 1'
_space_group_IT_number 12
_cell_length_a 9.1317
_cell_length_b 3.1134
_cell_length_c 5.7632
_cell_angle_alpha 90.00
_cell_angle_beta 107.10
_cell_angle_gamma 90.00
loop_
_space_group_symop_operation_xyz
'x,y,z'
'-x,-y,-z'
'-x,y,-z'
'x,-y,z'
'x+1/2,y+1/2,z'
'-x+1/2,-y+1/2,-z'
'-x+1/2,y+1/2,-z'
'x+1/2,-y+1/2,z'
loop_
_atom_site_label
_atom_site_type_symbol
_atom_site_fract_x
_atom_site_fract_y
_atom_site_fract_z
Mn1 Mn 0.0000 0.0000 0.0000
Mn2 Mn 0.0000 0.0000 0.5000
Mn3 Mn 0.1651 0.5000 0.3341
W1 W 0.1590 0.5000 0.8207
```

Values from the calculation:
* energy of formation: 0.1291 eV per atom
* M_tot: 9.8 μB/cell
* polymorph energy (0 for the lowest one): 0.211 eV/atom

=====

An optimized crystal structure of Nb3Al, computed with PBE.

The structure in CIF format:
```
data_Nb3Al
_space_group_name_H-M_alt 'P m m 2'
_space_group_IT_number 25
_cell_length_a 2.7516
_cell_length_b 4.8009
_cell_length_c 5.4136
_cell_angle_alpha 90.00
_cell_angle_beta 90.00
_cell_angle_gamma 90.00
loop_
_space_group_symop_operation_xyz
'x,y,z'
'-x,-y,z'
'-x,y,z'
'x,-y,z'
loop_
_atom_site_label
_atom_site_type_symbol
_atom_site_fract_x
_atom_site_fract_y
_atom_site_fract_z
Nb1 Nb 0.0000 0.0000 0.0000
Nb2 Nb 0.0000 0.5000 0.2942
Nb3 Nb 0.5000 0.5000 0.7784
Al1 Al 0.5000 0.0000 0.4841
```

Values from the calculation:
* energy of formation: -0.0393 eV per atom
* M_tot: 0.0 μB/cell

=====

An optimized crystal structure of HoCuSn, computed with PBE.

The structure in CIF format:
```
data_HoCuSn
_space_group_name_H-M_alt 'I 4 m m'
_space_group_IT_number 107
_space_group_name_Hall 'I 4 -2'
_cell_length_a 3.3811
_cell_length_b 3.3811
_cell_length_c 11.3405
_cell_angle_alpha 90.00
_cell_angle_beta 90.00
_cell_angle_gamma 90.00
loop_
_atom_site_label
_atom_site_type_symbol
_atom_site_fract_x
_atom_site_fract_y
_atom_site_fract_z
Ho1 Ho 0.0000 0.0000 0.0000
Cu1 Cu 0.0000 0.0000 0.6513
Sn1 Sn 0.0000 0.0000 0.2933
```

Values from the calculation:
* energy of formation: -0.2806 eV per atom
* M_tot: 0.0 μB/cell

=====

An optimized crystal structure of Cs2BePdI6, computed with PBE.

The structure in CIF format:
```
data_Cs2BePdI6
_space_group_name_H-M_alt 'I 4/m m m'
_space_group_IT_number 139
_space_group_name_Hall '-I 4 2'
_cell_length_a 8.7062
_cell_length_b 8.7062
_cell_length_c 11.5394
_cell_angle_alpha 90.00
_cell_angle_beta 90.00
_cell_angle_gamma 90.00
loop_
_atom_site_label
_atom_site_type_symbol
_atom_site_fract_x
_atom_site_fract_y
_atom_site_fract_z
Cs1 Cs 0.0000 0.5000 0.2500
Be1 Be 0.0000 0.0000 0.0000
Pd1 Pd 0.0000 0.0000 0.5000
I1 I 0.0000 0.0000 0.1919
I2 I 0.2160 0.2160 0.5000
```

Values from the calculation:
* M_tot: 0.0 μB/cell

=====

An optimized crystal structure of ZrTcHg2, computed with PBE.

The structure in CIF format:
```
data_ZrTcHg2
_space_group_name_H-M_alt 'P 1 2/m 1'
_space_group_IT_number 10
_cell_length_a 2.9346
_cell_length_b 4.4746
_cell_length_c 5.8420
_cell_angle_alpha 90.00
_cell_angle_beta 90.31
_cell_angle_gamma 90.00
loop_
_space_group_symop_operation_xyz
'x,y,z'
'-x,-y,-z'
'-x,y,-z'
'x,-y,z'
loop_
_atom_site_label
_atom_site_type_symbol
_atom_site_fract_x
_atom_site_fract_y
_atom_site_fract_z
Zr1 Zr 0.0000 0.0000 0.0000
Tc1 Tc 0.0000 0.0000 0.5000
Hg1 Hg 0.4993 0.5000 0.7416
```

Values from the calculation:
* energy of formation: 0.2034 eV per atom
* M_tot: 0.0 μB/cell
* polymorph energy (0 for the lowest one): 0.124 eV/atom

=====

An optimized crystal structure of Tm7ThAl4, computed with PBE.

The structure in CIF format:
```
data_Tm7ThAl4
_space_group_name_H-M_alt 'C 1 2/m 1'
_space_group_IT_number 12
_cell_length_a 13.7036
_cell_length_b 5.5283
_cell_length_c 10.2154
_cell_angle_alpha 90.00
_cell_angle_beta 124.45
_cell_angle_gamma 90.00
loop_
_space_group_symop_operation_xyz
'x,y,z'
'-x,-y,-z'
'-x,y,-z'
'x,-y,z'
'x+1/2,y+1/2,z'
'-x+1/2,-y+1/2,-z'
'-x+1/2,y+1/2,-z'
'x+1/2,-y+1/2,z'
loop_
_atom_site_label
_atom_site_type_symbol
_atom_site_fract_x
_atom_site_fract_y
_atom_site_fract_z
Tm1 Tm 0.0000 0.0000 0.0000
Tm2 Tm 0.0665 0.5000 0.3916
Tm3 Tm 0.2043 0.0000 0.6482
Tm4 Tm 0.2136 0.5000 0.8797
Th1 Th 0.0000 0.5000 0.0000
Al1 Al 0.0535 0.0000 0.7612
Al2 Al 0.1779 0.0000 0.3329
```

Values from the calculation:
* energy of formation: 0.0032 eV per atom
* M_tot: 0.0 μB/cell

=====

An optimized crystal structure of Ta2InBr, computed with PBE.

The structure in CIF format:
```
data_Ta2InBr
_space_group_name_H-M_alt 'P 4/m m m'
_space_group_IT_number 123
_space_group_name_Hall '-P 4 2'
_cell_length_a 3.0267
_cell_length_b 3.0267
_cell_length_c 8.3324
_cell_angle_alpha 90.00
_cell_angle_beta 90.00
_cell_angle_gamma 90.00
loop_
_atom_site_label
_atom_site_type_symbol
_atom_site_fract_x
_atom_site_fract_y
_atom_site_fract_z
Ta1 Ta 0.0000 0.0000 0.2336
In1 In 0.5000 0.5000 0.5000
Br1 Br 0.5000 0.5000 0.0000
```

Values from the calculation:
* M_tot: 0.0 μB/cell
* polymorph energy (0 for the lowest one): 0.561 eV/atom

=====

An optimized crystal structure of PrGa3H12, computed with PBE.

The structure in CIF format:
```
data_PrGa3H12
_space_group_name_H-M_alt 'P 63/m'
_space_group_IT_number 176
_space_group_name_Hall '-P 6c'
_cell_length_a 8.8648
_cell_length_b 8.8648
_cell_length_c 5.8845
_cell_angle_alpha 90.00
_cell_angle_beta 90.00
_cell_angle_gamma 120.00
loop_
_atom_site_label
_atom_site_type_symbol
_atom_site_fract_x
_atom_site_fract_y
_atom_site_fract_z
Pr1 Pr 0.3333 0.6667 0.2500
Ga1 Ga 0.0895 0.7177 0.7500
H1 H 0.0028 0.8319 0.7500
H2 H 0.0378 0.4925 0.2500
H3 H 0.2154 0.7532 0.5336
```

Values from the calculation:
* M_tot: 0.0 μB/cell

=====

Short version: total DFT energy (no corrections) = -7.295, -5.613, -8.812, -5.034, -2.642, -7.869, -5.781, -2.800, -3.864, -7.059, -8.617, -7.154, -10.302, -8.527, -4.506, -2.760, -4.676, -4.471, -6.398, -3.444 eV/atom, in the order given.